1.
Below is BaSr14Mg after structural relaxation, with properties calculated at the PBE-GGA level.

```
16
Lattice="13.4589 0.0000 0.0000 0.0000 4.6208 6.7332 0.0000 -4.6208 6.7332" Properties=species:S:1:pos:R:3 pbc="T T T"
Ba 0.0000 0.0000 0.0000
Sr 0.0000 -2.2668 10.0775
Sr 0.0000 2.2668 10.0775
Sr 3.2177 -2.1724 6.8417
Sr 3.2177 2.1724 6.8417
Sr 3.3411 0.0000 3.4128
Sr 3.4338 0.0000 10.2968
Sr 6.7294 0.0000 0.1315
Sr 6.7294 -2.2680 3.5306
Sr 6.7294 2.2680 3.5306
Sr 6.7294 0.0000 6.9222
Sr 10.0251 0.0000 10.2968
Sr 10.1178 0.0000 3.4128
Sr 10.2412 -2.1724 6.8417
Sr 10.2412 2.1724 6.8417
Mg 0.0000 0.0000 6.5727
```

uncorrected energy	-1.667	eV per atom
D(E_F)	16.89	states/eV/cell

2.
Below is PbCl7 after structural relaxation, with properties calculated at the PBE-GGA level.

```
8
Lattice="0.0000 4.5796 4.5796 4.5796 0.0000 4.5796 4.5796 4.5796 0.0000" Properties=species:S:1:pos:R:3 pbc="T T T"
Pb 0.0000 0.0000 0.0000
Cl 2.2898 2.2898 0.0000
Cl 2.2898 0.0000 2.2898
Cl 4.5796 2.2898 2.2898
Cl 0.0000 2.2898 2.2898
Cl 2.2898 4.5796 2.2898
Cl 2.2898 2.2898 4.5796
Cl 4.5796 4.5796 4.5796
```

uncorrected energy	-1.863	eV per atom
uncorrected formation energy	5.00	kcal/mol of atoms
D(E_F)	9.80	states/eV/cell